[1]
Computed, not measured: crystalline Ba2Mg4Cd3Ag at its relaxed geometry at the PBE level of DFT.

Properties
**ΔE_f**: -0.1897 eV per atom

Lattice parameters (Å, degrees): 4.787 4.787 12.777 90.00 90.00 90.00
Fractional positions:
Ba: 0.500 0.000 0.257
Ba: 0.000 0.500 0.743
Mg: 0.500 0.500 0.000
Mg: 0.000 0.000 0.000
Mg: 0.500 0.000 0.623
Mg: 0.000 0.500 0.377
Cd: 0.000 0.000 0.500
Cd: 0.500 0.000 0.856
Cd: 0.000 0.500 0.144
Ag: 0.500 0.500 0.500

---

[2]
Computed, not measured: crystalline BeCrTe2 at its relaxed geometry at the PBE level of DFT.

Properties
**Energy relative to the elements, uncorrected**: 0.133 eV per atom

Lattice parameters (Å, degrees): 7.589 7.589 7.589 152.58 153.22 38.70
Fractional positions:
Cr: 0.331 0.831 0.500
Te: 0.983 0.983 0.000
Te: 0.746 0.246 0.500
Be: 0.440 0.440 0.000

---

[3]
Computed, not measured: crystalline Pa2BrN at its relaxed geometry at the PBE level of DFT.

Properties
**Energy relative to the elements, uncorrected**: -1.095 eV per atom
**Energy above the lowest structure with this stoichiometry**: 0.0 meV per atom

Lattice parameters (Å, degrees): 3.386 3.386 8.111 77.95 77.95 60.00
Fractional positions:
Pa: 0.729 0.729 0.814
Pa: 0.271 0.271 0.186
Br: 0.500 0.500 0.500
N: 0.000 0.000 0.000

---

[4]
Computed, not measured: crystalline NaNiN at its relaxed geometry at the PBE level of DFT.

Properties
**Energy relative to the elements, uncorrected**: 0.126 eV per atom
**Energy above the lowest structure with this stoichiometry**: 109.7 meV per atom

Lattice parameters (Å, degrees): 4.366 3.386 5.241 90.00 90.00 90.00
Fractional positions:
Na: 0.500 0.000 0.270
Na: 0.500 0.500 0.770
Ni: 0.000 0.000 0.910
Ni: 0.000 0.500 0.410
N: 0.000 0.000 0.556
N: 0.000 0.500 0.056

---

[5]
Computed, not measured: crystalline Ba3YSi2O8 at its relaxed geometry at the PBE level of DFT.

Properties
**Energy relative to the elements, uncorrected**: -2.883 eV per atom

Lattice parameters (Å, degrees): 5.772 5.772 7.739 90.00 90.00 120.00
Fractional positions:
Ba: 0.333 0.667 0.688
Ba: 0.667 0.333 0.312
Ba: 0.000 0.000 0.000
Y: 0.000 0.000 0.500
Si: 0.333 0.667 0.227
Si: 0.667 0.333 0.773
O: 0.333 0.667 0.018
O: 0.667 0.333 0.982
O: 0.178 0.822 0.307
O: 0.822 0.178 0.693
O: 0.178 0.356 0.307
O: 0.822 0.644 0.693
O: 0.644 0.822 0.307
O: 0.356 0.178 0.693

---

[6]
Computed, not measured: crystalline KRbSbO3 at its relaxed geometry at the PBE level of DFT.

Properties
**Energy relative to the elements, uncorrected**: -1.418 eV per atom

Lattice parameters (Å, degrees): 6.098 6.488 7.161 63.06 86.09 81.35
Fractional positions:
K: 0.250 0.584 0.832
K: 0.750 0.416 0.168
Rb: 0.250 0.245 0.510
Rb: 0.750 0.755 0.490
Sb: 0.750 0.055 0.889
Sb: 0.250 0.945 0.111
O: 0.494 0.836 0.938
O: 0.006 0.226 0.938
O: 0.750 0.210 0.580
O: 0.506 0.164 0.062
O: 0.994 0.774 0.062
O: 0.250 0.790 0.420